This record from Alexandria via LeMat-Bulk describes CsCaVO4 after structural relaxation. The functional is GGA+U.

Cell lengths 5.9235, 6.1137, 7.9786 Å; angles 90.00, 106.86, 90.00 degrees
With the nearest neighbours (Å) after each atom.
Space group P2_1/m (No. 11)
Inequivalent atoms, fractional coordinates:
Cs 0.2105 0.2500 0.4323  6 O 2.94-3.29
Ca 0.2961 0.2500 0.9592  6 O 2.35-2.53
V 0.2450 0.7500 0.1487  4 O 1.72-1.76
O 0.0484 0.7500 0.9426  1 V 1.72
O 0.0684 0.7500 0.2898  1 V 1.74
O 0.4370 0.5254 0.1699  1 V 1.76

Calculated values
Its volume is 276.5 Å³ per cell. The total energy is -6.653 eV/atom. The value obtained for the total magnetic moment is 0.00 μB/f.u.